1.
# CaGa2Pd2Pt

CaGa2Pd2Pt after structural relaxation (PBE, Alexandria).

Cell and atoms, written as POSCAR:
```
CaGa2Pd2Pt
1.0
4.756 0.000 0.000
0.000 4.756 0.000
0.000 0.000 5.568
Ca Ga Pd Pt
1 2 2 1
Cartesian
0.000 0.000 0.000 Ca
0.000 2.378 2.784 Ga
2.378 0.000 2.784 Ga
2.378 2.378 1.391 Pd
2.378 2.378 4.177 Pd
0.000 0.000 2.784 Pt
```

Values from the calculation:
- density of states at the Fermi level (states/eV/atom) = 0.36
- DFT total energy (eV per atom) = -4.58
- space-group type = No. 123

---

2.
# FeCoS2

FeCoS2 after structural relaxation (PBE, Alexandria).

Cell and atoms, written as POSCAR:
```
FeCoS2
1.0
3.568 0.000 0.000
0.000 3.568 0.000
0.000 0.000 5.479
Fe Co S
1 1 2
Cartesian
0.000 0.000 0.000 Fe
1.784 1.784 0.000 Co
0.000 1.784 1.239 S
1.784 0.000 4.240 S
```

Values from the calculation:
- density of states at the Fermi level (states/eV/atom) = 0.16
- uncorrected formation energy (eV per atom) = -0.51
- DFT total energy (eV per atom) = -6.47
- space-group type = No. 115
- relative energy among the computed polymorphs (eV per atom) = 0.0000

---

3.
# Ce2SbRh

Ce2SbRh after structural relaxation (PBE, Alexandria).

Cell and atoms, written as POSCAR:
```
Ce2SbRh
1.0
2.068 1.194 7.358
-2.068 1.194 7.358
0.000 -2.388 7.358
Ce Sb Rh
2 1 1
Cartesian
0.000 0.000 5.274 Ce
0.000 0.000 16.799 Ce
0.000 0.000 0.000 Sb
0.000 0.000 11.037 Rh
```

Values from the calculation:
- density of states at the Fermi level (states/eV/atom) = 2.33
- uncorrected formation energy (eV per atom) = -0.76
- DFT total energy (eV per atom) = -6.59
- space-group type = No. 166

---

4.
# Ca2AsBr2

Ca2AsBr2 after structural relaxation (PBE, Alexandria).

Cell and atoms, written as POSCAR:
```
Ca2AsBr2
1.0
-2.773 2.773 4.723
2.773 -2.773 4.723
2.773 2.773 -4.723
Ca As Br
2 1 2
Cartesian
2.773 0.000 2.362 Ca
0.000 2.773 2.362 Ca
0.000 0.000 0.000 As
0.000 0.000 3.192 Br
0.000 0.000 6.255 Br
```

Values from the calculation:
- density of states at the Fermi level (states/eV/atom) = 0.49
- uncorrected formation energy (eV per atom) = -1.04
- DFT total energy (eV per atom) = -3.44
- space-group type = No. 139

---

5.
# LaNiCl2

LaNiCl2 after structural relaxation (PBE, Alexandria).

Cell and atoms, written as POSCAR:
```
LaNiCl2
1.0
2.057 1.188 7.308
-2.057 1.188 7.308
0.000 -2.375 7.308
La Ni Cl
1 1 2
Cartesian
0.000 0.000 0.000 La
0.000 0.000 16.080 Ni
0.000 0.000 5.535 Cl
0.000 0.000 9.367 Cl
```

Values from the calculation:
- density of states at the Fermi level (states/eV/atom) = 0.36
- uncorrected formation energy (eV per atom) = -1.13
- DFT total energy (eV per atom) = -4.73
- space-group type = No. 160
- relative energy among the computed polymorphs (eV per atom) = 0.0401

---

6.
# SmCuNi

SmCuNi after structural relaxation (PBE, Alexandria).

Cell and atoms, written as POSCAR:
```
SmCuNi
1.0
10.731 0.000 0.000
0.000 4.403 0.000
0.000 0.000 4.714
Sm Cu Ni
4 4 4
Cartesian
1.840 1.101 0.808 Sm
3.525 3.302 3.165 Sm
7.206 1.101 1.549 Sm
8.891 3.302 3.907 Sm
0.025 3.302 1.633 Cu
5.340 1.101 3.991 Cu
5.391 3.302 0.724 Cu
10.706 1.101 3.081 Cu
0.905 3.302 3.934 Ni
4.460 1.101 1.576 Ni
6.271 3.302 3.138 Ni
9.826 1.101 0.781 Ni
```

Values from the calculation:
- density of states at the Fermi level (states/eV/atom) = 0.42
- DFT total energy (eV per atom) = -5.05
- space-group type = No. 62
- relative energy among the computed polymorphs (eV per atom) = 0.1022

---

The lowest density of states at the Fermi level belongs to which entry? FeCoS2

---

Among the records above, which one has the lowest DFT total energy? Ce2SbRh

---

Please write out number 4 again, unchanged.
# Ca2AsBr2

Ca2AsBr2 after structural relaxation (PBE, Alexandria).

Cell and atoms, written as POSCAR:
```
Ca2AsBr2
1.0
-2.773 2.773 4.723
2.773 -2.773 4.723
2.773 2.773 -4.723
Ca As Br
2 1 2
Cartesian
2.773 0.000 2.362 Ca
0.000 2.773 2.362 Ca
0.000 0.000 0.000 As
0.000 0.000 3.192 Br
0.000 0.000 6.255 Br
```

Values from the calculation:
- density of states at the Fermi level (states/eV/atom) = 0.49
- uncorrected formation energy (eV per atom) = -1.04
- DFT total energy (eV per atom) = -3.44
- space-group type = No. 139